Record 1
Compound: Tl2PtW
Source: Alexandria
Functional: GGA-PBE
Structure: relaxed

abc: 3.055 3.055 9.245
angles: 90.00 90.00 90.00
Positions (direct):
Tl 0.000 0.000 0.000
Tl 0.500 0.500 0.321
Pt 0.500 0.500 0.736
W 0.000 0.000 0.567

Computed properties:
D(E_F) (states/eV/cell): 3.1
Symmetry: P4mm (99)

Record 2
Compound: Zn4Ru5
Source: Alexandria
Functional: GGA-PBE
Structure: relaxed

abc: 6.033 6.033 6.033
angles: 96.06 96.06 142.07
Positions (direct):
Zn 0.000 0.327 0.327
Zn 0.000 0.673 0.673
Zn 0.327 0.000 0.327
Zn 0.673 0.000 0.673
Ru 0.000 0.000 0.000
Ru 0.338 0.338 0.676
Ru 0.338 0.662 0.000
Ru 0.662 0.338 0.000
Ru 0.662 0.662 0.324

Computed properties:
D(E_F) (states/eV/cell): 12.0
Symmetry: I4/mmm (139)

Record 3
Compound: ScAs3I
Source: Alexandria
Functional: GGA-PBE
Structure: relaxed

abc: 5.260 5.260 5.260
angles: 90.00 90.00 90.00
Positions (direct):
Sc 0.000 0.000 0.000
As 0.000 0.500 0.500
As 0.500 0.000 0.500
As 0.500 0.500 0.000
I 0.500 0.500 0.500

Computed properties:
Formation energy from raw total energies (eV/atom): 0.93
D(E_F) (states/eV/cell): 3.4
Symmetry: Pm-3m (221)

Record 4
Compound: InRhSe2N
Source: Alexandria
Functional: GGA-PBE
Structure: relaxed

abc: 5.286 5.286 3.944
angles: 90.00 90.00 90.00
Positions (direct):
In 0.000 0.000 0.000
Rh 0.500 0.500 0.500
Se 0.000 0.500 0.000
Se 0.500 0.000 0.000
N 0.000 0.000 0.500

Computed properties:
Formation energy from raw total energies (eV/atom): 1.37
D(E_F) (states/eV/cell): 9.5
Symmetry: P4/mmm (123)

Record 5
Compound: Sr2Cu2Cl7
Source: Alexandria
Functional: GGA-PBE
Structure: relaxed

abc: 7.425 7.425 6.462
angles: 96.48 96.48 105.32
Positions (direct):
Sr 0.195 0.805 0.000
Sr 0.805 0.195 0.000
Cu 0.269 0.269 0.587
Cu 0.731 0.731 0.413
Cl 0.089 0.421 0.774
Cl 0.107 0.107 0.264
Cl 0.421 0.089 0.774
Cl 0.500 0.500 0.500
Cl 0.579 0.911 0.226
Cl 0.893 0.893 0.736
Cl 0.911 0.579 0.226

Computed properties:
Formation energy from raw total energies (eV/atom): -1.53
D(E_F) (states/eV/cell): 6.9
Symmetry: C2/m (12)

Record 6
Compound: CsBaV2I
Source: Alexandria
Functional: GGA-PBE
Structure: relaxed

abc: 5.587 5.587 6.558
angles: 90.00 90.00 90.00
Positions (direct):
Cs 0.000 0.000 0.000
Ba 0.500 0.500 0.000
V 0.000 0.500 0.500
V 0.500 0.000 0.500
I 0.500 0.500 0.500

Computed properties:
Formation energy from raw total energies (eV/atom): 1.01
D(E_F) (states/eV/cell): 9.2
Symmetry: P4/mmm (123)

Record 7
Compound: MgAs2S4
Source: Alexandria
Functional: GGA-PBE
Structure: relaxed

abc: 8.215 8.215 6.289
angles: 101.97 101.97 25.08
Positions (direct):
Mg 0.000 0.000 0.000
As 0.315 0.315 0.901
As 0.685 0.685 0.099
S 0.145 0.145 0.308
S 0.424 0.424 0.184
S 0.576 0.576 0.816
S 0.855 0.855 0.692

Computed properties:
Formation energy from raw total energies (eV/atom): -0.46
Symmetry: C2/m (12)

Record 8
Compound: SmTm2Pu
Source: Alexandria
Functional: GGA-PBE
Structure: relaxed

abc: 12.348 12.348 12.348
angles: 15.82 15.82 15.82
Positions (direct):
Sm 0.000 0.000 0.000
Tm 0.092 0.092 0.092
Tm 0.908 0.908 0.908
Pu 0.500 0.500 0.500

Computed properties:
D(E_F) (states/eV/cell): 12.8
Symmetry: R-3m (166)

Record 9
Compound: GeHO2
Source: Alexandria
Functional: GGA-PBE
Structure: relaxed

abc: 4.853 4.853 4.853
angles: 38.54 38.54 38.54
Positions (direct):
Ge 0.000 0.000 0.000
H 0.500 0.500 0.500
O 0.410 0.410 0.410
O 0.590 0.590 0.590

Computed properties:
D(E_F) (states/eV/cell): 2.2
Symmetry: R-3m (166)

Record 10
Compound: TaRe2Ag
Source: Alexandria
Functional: GGA-PBE
Structure: relaxed

abc: 4.518 4.518 4.518
angles: 60.00 60.00 60.00
Positions (direct):
Ta 0.000 0.000 0.000
Re 0.250 0.250 0.250
Re 0.500 0.500 0.500
Ag 0.750 0.750 0.750

Computed properties:
D(E_F) (states/eV/cell): 3.6
Symmetry: F-43m (216)

Record 11
Compound: LaRe2Hg
Source: Alexandria
Functional: GGA-PBE
Structure: relaxed

abc: 3.193 4.925 5.079
angles: 90.00 90.00 90.00
Positions (direct):
La 0.000 0.000 0.000
Re 0.000 0.500 0.500
Re 0.500 0.500 0.000
Hg 0.500 0.000 0.500

Computed properties:
D(E_F) (states/eV/cell): 4.9
Symmetry: Pmmm (47)

Record 12
Compound: Rb7HAu3
Source: Alexandria
Functional: GGA-PBE
Structure: relaxed

abc: 9.821 9.821 11.347
angles: 90.00 90.00 109.66
Positions (direct):
Rb 0.057 0.943 0.750
Rb 0.076 0.326 0.962
Rb 0.077 0.327 0.536
Rb 0.326 0.076 0.038
Rb 0.327 0.077 0.464
Rb 0.362 0.638 0.750
Rb 0.368 0.632 0.250
Rb 0.632 0.368 0.750
Rb 0.638 0.362 0.250
Rb 0.673 0.923 0.964
Rb 0.674 0.924 0.538
Rb 0.923 0.673 0.036
Rb 0.924 0.674 0.462
Rb 0.943 0.057 0.250
H 0.000 0.000 0.000
H 0.000 0.000 0.500
Au 0.004 0.430 0.249
Au 0.430 0.004 0.751
Au 0.500 0.500 0.000
Au 0.500 0.500 0.500
Au 0.570 0.996 0.251
Au 0.996 0.570 0.749

Computed properties:
D(E_F) (states/eV/cell): 17.0
Symmetry: C222_1 (20)

| no. | E_tot (eV for the cell shown) |
| --- | --- |
| 1 | -22.30 |
| 2 | -50.02 |
| 3 | -17.19 |
| 4 | -18.54 |
| 5 | -41.32 |
| 6 | -17.51 |
| 7 | -30.59 |
| 8 | -27.01 |
| 9 | -21.65 |
| 10 | -37.77 |
| 11 | -26.66 |
| 12 | -42.96 |